1.
# GaAgNO, relaxed, DFT GGA-PBE
# V (Å³/f.u.): 56.03
# Excess energy over the best structure of this formula in the dataset (eV per atom): 0.149
# Symmetry: P4/nmm, No. 129
data_GaAgNO
_chemical_formula_sum 'Ga2 Ag2 N2 O2'
_symmetry_space_group_name_H-M 'P 1'
_symmetry_Int_Tables_number 1
_cell_length_a 3.818
_cell_length_b 3.818
_cell_length_c 7.688
_cell_angle_alpha 90.00
_cell_angle_beta 90.00
_cell_angle_gamma 90.00
loop_
_symmetry_equiv_pos_as_xyz
'x,y,z'
loop_
_atom_site_label
_atom_site_fract_x
_atom_site_fract_y
_atom_site_fract_z
_atom_site_occupancy
Ga1 0.250 0.250 0.100 1
Ga2 0.750 0.750 0.900 1
Ag1 0.250 0.750 0.500 1
Ag2 0.750 0.250 0.500 1
N1 0.250 0.250 0.343 1
N2 0.750 0.750 0.657 1
O1 0.250 0.750 0.000 1
O2 0.750 0.250 0.000 1

2.
# GaAgNO, relaxed, DFT GGA-PBE
# V (Å³/f.u.): 54.21
# Excess energy over the best structure of this formula in the dataset (eV per atom): 0.000
# Symmetry: Pmc2_1, No. 26
data_GaAgNO
_chemical_formula_sum 'Ga2 Ag2 N2 O2'
_symmetry_space_group_name_H-M 'P 1'
_symmetry_Int_Tables_number 1
_cell_length_a 3.107
_cell_length_b 6.168
_cell_length_c 5.657
_cell_angle_alpha 90.00
_cell_angle_beta 90.00
_cell_angle_gamma 90.00
loop_
_symmetry_equiv_pos_as_xyz
'x,y,z'
loop_
_atom_site_label
_atom_site_fract_x
_atom_site_fract_y
_atom_site_fract_z
_atom_site_occupancy
Ga1 0.000 0.147 0.000 1
Ga2 0.000 0.853 0.500 1
Ag1 0.500 0.333 0.466 1
Ag2 0.500 0.667 0.966 1
N1 0.000 0.129 0.342 1
N2 0.000 0.871 0.842 1
O1 0.500 0.300 0.911 1
O2 0.500 0.700 0.411 1

3.
# NaGaAg, relaxed, DFT GGA-PBE
# V (Å³/f.u.): 74.27
# Symmetry: F-43m, No. 216
# Final energy (eV/atom): -2.046
data_NaGaAg
_chemical_formula_sum 'Na1 Ga1 Ag1'
_symmetry_space_group_name_H-M 'P 1'
_symmetry_Int_Tables_number 1
_cell_length_a 4.718
_cell_length_b 4.718
_cell_length_c 4.718
_cell_angle_alpha 60.00
_cell_angle_beta 60.00
_cell_angle_gamma 60.00
loop_
_symmetry_equiv_pos_as_xyz
'x,y,z'
loop_
_atom_site_label
_atom_site_fract_x
_atom_site_fract_y
_atom_site_fract_z
_atom_site_occupancy
Na1 0.000 0.000 0.000 1
Ga1 0.250 0.250 0.250 1
Ag1 0.750 0.750 0.750 1